Density functional theory data (PBE) for a geometry-optimized SrBeTc2 structure.

abc: 5.526 5.526 2.594
angles: 90.00 90.00 119.80
Atoms (fractional coordinates):
Be (0.500, 0.000, 0.500)
Tc (0.500, 0.500, 0.000)
Tc (0.000, 0.000, 0.000)
Sr (0.000, 0.500, 0.500)

Space group: Cmmm (65)
Energy of formation from the pure elements, meV/atom: 1053
Total energy, eV/atom: -5.482